Record 1
## CaYAg (SCAN)

Data for a crystal of CaYAg relaxed with PBEsol.

Unit cell a=3.594 b=3.594 c=6.906 alpha=105.08 beta=105.08 gamma=90.00
Sites, in units of the cell vectors:
Ca (0.642, 0.642, 0.285)
Ag (0.992, 0.992, 0.984)
Y (0.366, 0.366, 0.731)

Results
The calculation puts the distance to the lowest polymorph of the same formula at 0.000 eV per atom. The symmetry is I4mm (107). The formation energy comes out at -211 meV/atom. As for the total energy: -69.51 eV for the cell shown.



Record 2
## CaYAg (SCAN)

Data for a crystal of CaYAg relaxed with PBEsol.

Unit cell a=4.898 b=4.898 c=4.898 alpha=60.00 beta=60.00 gamma=60.00
Sites, in units of the cell vectors:
Y (0.000, 0.000, 0.000)
Ag (0.500, 0.500, 0.500)
Ca (0.250, 0.250, 0.250)

Results
The calculation puts the distance to the lowest polymorph of the same formula at 0.813 eV per atom. The symmetry is F-43m (216). The formation energy comes out at 602 meV/atom. As for the total energy: -67.07 eV for the cell shown.